TmPuCl6 GGA-PBE relaxed; volume = 244.27 Å³/cell; E_form (uncorrected) = -2054.0 meV per atom; excess energy over the best structure of this formula in the dataset = 0.0087 eV per atom; density = 4.3 Mg/m³
1.0
-1.1979 -5.7418 -3.2761
4.2897 -2.1393 -4.7072
4.2310 -5.7751 1.6859
Cl Tm Pu
6 1 1
Cartesian
5.8572 -8.1885 -3.5838 Cl
2.7121 -8.8026 -1.7128 Cl
4.6107 -4.8536 -4.5846 Cl
1.4656 -5.4677 -2.7135 Cl
2.5916 -7.8853 -5.2933 Cl
4.7312 -5.7709 -1.0041 Cl
3.6614 -6.8281 -3.1487 Tm
0.0000 0.0000 0.0000 Pu

***

TmMgHg4 GGA-PBE relaxed; volume = 140.13 Å³/cell; E_form = -238 meV/atom; density = 11.8 Mg/m³
1.0
-2.8879 2.8674 -0.4137
0.9015 -1.0707 5.2160
3.0739 6.4189 2.4025
Hg Mg Tm
4 1 1
Cartesian
2.4489 5.1662 7.0382 Hg
1.9988 4.1857 4.1121 Hg
-0.9331 4.0202 3.0538 Hg
-0.4849 1.9669 5.3479 Hg
2.4255 2.1336 6.3920 Mg
2.0690 7.3121 4.7874 Tm

***

NdAgSb GGA-PBE relaxed; volume = 81.55 Å³/cell; E_form (uncorrected) = -433.3 meV per atom; density = 7.6 Mg/m³
1.0
4.2200 0.0000 0.0000
0.0000 4.2200 0.0000
-2.1100 -2.1100 4.5792
Nd Ag Sb
1 1 1
Cartesian
2.1100 2.1100 1.0118 Nd
0.0000 0.0000 2.5450 Ag
2.1100 2.1100 4.2277 Sb

***

Bi3SCl7 GGA-PBE relaxed; volume = 394.33 Å³/cell; E_form (uncorrected) = -886.7 meV per atom; density = 3.8 Mg/m³
1.0
6.8646 0.0000 0.0000
0.0000 7.0532 -4.0722
0.0000 0.0000 8.1444
Bi Cl S
3 7 1
Cartesian
5.3356 3.5616 1.9755 Bi
5.3356 3.5616 -1.9755 Bi
5.3356 6.9832 0.0000 Bi
0.0317 2.4600 0.0000 Cl
3.8647 4.6087 4.0722 Cl
0.1500 2.3511 4.0722 Cl
3.8647 1.2223 2.1170 Cl
0.0317 5.8232 1.9417 Cl
3.8647 1.2223 6.0273 Cl
0.0317 5.8232 -1.9417 Cl
3.8350 4.7021 0.0000 S

***

La3Si4Ag7 GGA-PBE relaxed; volume = 291.19 Å³/cell; E_form (uncorrected) = -350.6 meV per atom; density = 7.3 Mg/m³
1.0
-2.4961 3.6882 0.0041
-7.0434 -2.0732 -4.4139
-6.5703 -1.7637 5.2902
Ag Si La
7 4 3
Cartesian
-5.1845 -0.8175 -2.2330 Ag
-8.0072 -0.0452 3.2674 Ag
-6.0630 1.2723 1.7659 Ag
-8.1025 -0.1035 -2.3870 Ag
-10.9253 0.6689 3.1133 Ag
0.0000 0.0000 0.0000 Ag
-10.0468 -1.4209 -0.8856 Ag
-5.3227 -0.9170 3.1176 Si
-9.7614 -1.2307 1.7093 Si
-6.3484 1.0820 -0.8289 Si
-10.7870 0.7683 -2.2372 Si
-12.6824 -0.5176 0.6618 La
-6.8068 -1.9184 0.4381 La
-3.4274 0.3689 0.2185 La

***

Sc2NiHg GGA-PBE relaxed; volume = 100.94 Å³/cell; E_form = -77 meV/atom; density = 5.7 Mg/m³
1.0
2.1430 6.6207 5.7530
3.0626 3.6591 7.6652
5.3801 5.0378 5.2153
Sc Ni Hg
2 1 1
Cartesian
1.2122 1.7541 2.1338 Sc
9.3735 13.5635 16.4996 Sc
5.2929 7.6588 9.3167 Ni
0.0000 0.0000 0.0000 Hg

***

RbNa2Au GGA-PBE relaxed; volume = 138.35 Å³/cell; E_form = -63 meV/atom; excess energy over the best structure of this formula in the dataset = 0.1216 eV per atom; density = 3.9 Mg/m³
1.0
5.6709 0.0000 0.0000
0.0000 4.9393 0.0000
0.0000 0.0000 4.9393
Au Rb Na
1 1 2
Cartesian
2.8354 0.0000 0.0000 Au
2.8354 2.4696 2.4696 Rb
0.0000 2.4696 0.0000 Na
0.0000 0.0000 2.4696 Na

***

CdFeIr2 GGA-PBE relaxed; volume = 61.59 Å³/cell; E_form = 315 meV/atom; density = 14.9 Mg/m³
1.0
2.8575 0.0000 0.0000
0.0000 4.7095 0.0000
0.0000 0.0000 4.5768
Cd Fe Ir
1 1 2
Cartesian
1.4287 0.0000 2.2884 Cd
0.0000 2.3548 2.2884 Fe
0.0000 0.0000 0.0000 Ir
1.4287 2.3548 0.0000 Ir

***

Mn2TeOs GGA-PBE relaxed; volume = 62.07 Å³/cell; E_form (uncorrected) = 454.3 meV per atom; density = 11.4 Mg/m³
1.0
-2.2330 -3.6407 2.3946
-2.8074 -2.6307 -3.0288
4.6671 1.4645 -0.2204
Os Mn Te
1 2 1
Cartesian
-2.5203 -3.1358 -0.3171 Os
-0.0429 -2.6557 0.9286 Mn
-5.0403 -6.2713 -0.6341 Mn
-0.3303 -2.1510 -1.7831 Te

***

PmNpSi4 GGA-PBE relaxed; volume = 107.22 Å³/cell; E_form (uncorrected) = -182.7 meV per atom; excess energy over the best structure of this formula in the dataset = 0.1457 eV per atom; density = 7.7 Mg/m³
1.0
5.3324 0.0000 0.0000
2.6662 4.6180 0.0000
2.6662 1.5393 4.3539
Si Np Pm
4 1 1
Cartesian
3.9918 3.8527 2.7242 Si
5.3324 1.5307 2.7242 Si
6.6730 3.8527 2.7242 Si
5.3324 3.0787 0.5351 Si
0.0000 0.0000 0.0000 Np
2.6662 1.5393 1.0885 Pm

***

CaCeAlTl GGA-PBE relaxed; volume = 109.89 Å³/cell; E_form = -251 meV/atom; density = 6.2 Mg/m³
1.0
-3.3073 3.1509 -2.8352
-2.7285 -2.0258 -4.1661
-5.3211 -0.6846 0.3488
Tl Ca Ce Al
1 1 1 1
Cartesian
0.0000 0.0000 0.0000 Tl
-8.5177 0.3304 -4.9894 Ca
-2.8392 0.1101 -1.6631 Ce
-5.6784 0.2202 -3.3263 Al

***

BaZnSnO2 GGA-PBE relaxed; volume = 105.08 Å³/cell; E_form (uncorrected) = 46.1 meV per atom; density = 5.6 Mg/m³
1.0
-4.0468 1.4195 -1.0057
-1.9068 -2.2011 4.5659
0.7881 3.7660 2.1446
O Sn Ba Zn
2 1 1 1
Cartesian
0.3940 1.8830 1.0723 O
-2.0234 0.7098 -0.5029 O
-2.5828 1.4922 2.8524 Sn
-0.9534 -1.1006 2.2829 Ba
0.0000 0.0000 0.0000 Zn